Material: TbZr2NbN4
Method: DFT, GGA-PBE
State: optimized geometry

Calculated values
total magnetization = 0.00 μB per cell
total energy = -9.61 eV/atom
Fermi-level density of states = 2.93 states/eV/cell

Cell: 5.6825 3.2752 5.6960 Å, 90.00 109.25 90.00°
Space group P2/m (No. 10)
Unique sites:
Tb: 0.0000 0.0000 0.0000 [1 per cell]
Zr: 0.0000 0.5000 0.5000 [1 per cell]
Zr: 0.5000 0.0000 0.5000 [1 per cell]
Nb: 0.5000 0.5000 0.0000 [1 per cell]
N: 0.2562 0.0000 0.7450 [2 per cell]
N: 0.2618 0.5000 0.2633 [2 per cell]